[1]
The following is a PBE calculation of a relaxed structure of YRu2Pb, from Alexandria.

Output
ΔH_f (0 K) = 0.11 eV per formula unit

Cell lengths 3.403, 3.403, 6.611 Å; angles 90.00, 90.00, 90.00 degrees
Fractional coordinates of all 4 atoms:
Pb  0.500  0.500  0.750
Ru  0.000  0.000  0.984
Ru  0.000  0.000  0.516
Y  0.500  0.500  0.250

[2]
The following is a PBE calculation of a relaxed structure of Y6Ru2Pb, from Alexandria.

Output
ΔH_f (0 K) = -3.49 eV per formula unit

Cell lengths 8.556, 8.556, 8.556 Å; angles 104.80, 112.75, 110.96 degrees
Fractional coordinates of all 18 atoms:
Y  0.530  0.817  0.714
Y  0.470  0.183  0.286
Y  0.103  0.817  0.286
Y  0.897  0.183  0.714
Y  0.791  0.030  0.239
Y  0.209  0.970  0.761
Y  0.209  0.449  0.239
Y  0.791  0.551  0.761
Y  0.687  0.329  0.016
Y  0.313  0.671  0.984
Y  0.313  0.329  0.643
Y  0.687  0.671  0.357
Ru  0.500  0.125  0.625
Ru  0.500  0.875  0.375
Ru  0.669  0.669  0.000
Ru  0.331  0.331  0.000
Pb  0.000  0.500  0.500
Pb  0.000  0.000  0.000

[3]
The following is a PBE calculation of a relaxed structure of Y3RuPb, from Alexandria.

Output
E above lowest polymorph = 124 meV/atom
ΔH_f (0 K) = -1.44 eV per formula unit

Cell lengths 7.312, 7.312, 7.312 Å; angles 62.80, 62.80, 62.80 degrees
Fractional coordinates of all 10 atoms:
Pb  0.246  0.246  0.246
Pb  0.746  0.746  0.746
Ru  0.996  0.996  0.996
Ru  0.496  0.496  0.496
Y  0.246  0.824  0.669
Y  0.324  0.746  0.169
Y  0.169  0.324  0.746
Y  0.746  0.169  0.324
Y  0.824  0.669  0.246
Y  0.669  0.246  0.824

[4]
The following is a PBE calculation of a relaxed structure of Y3RuPb, from Alexandria.

Output
E above lowest polymorph = 88 meV/atom
ΔH_f (0 K) = -1.62 eV per formula unit

Cell lengths 7.137, 9.004, 9.004 Å; angles 75.75, 89.99, 89.99 degrees
Fractional coordinates of all 20 atoms:
Y  0.603  0.823  0.950
Y  0.897  0.050  0.177
Y  0.397  0.177  0.050
Y  0.103  0.950  0.823
Y  0.778  0.440  0.059
Y  0.722  0.941  0.560
Y  0.222  0.560  0.941
Y  0.278  0.059  0.440
Y  0.603  0.551  0.677
Y  0.897  0.323  0.449
Y  0.397  0.449  0.323
Y  0.103  0.677  0.551
Ru  0.883  0.699  0.801
Ru  0.617  0.199  0.301
Ru  0.117  0.301  0.199
Ru  0.383  0.801  0.699
Pb  0.250  0.804  0.196
Pb  0.750  0.196  0.804
Pb  0.250  0.304  0.696
Pb  0.750  0.696  0.304

[5]
The following is a PBE calculation of a relaxed structure of Y3RuPb, from Alexandria.

Output
E above lowest polymorph = 383 meV/atom
ΔH_f (0 K) = -0.15 eV per formula unit

Cell lengths 7.713, 7.713, 5.986 Å; angles 90.00, 90.00, 129.59 degrees
Fractional coordinates of all 10 atoms:
Pb  0.564  0.436  0.250
Pb  0.436  0.564  0.750
Ru  0.170  0.830  0.250
Ru  0.830  0.170  0.750
Y  0.061  0.433  0.250
Y  0.567  0.939  0.250
Y  0.433  0.061  0.750
Y  0.939  0.567  0.750
Y  0.000  0.000  0.000
Y  0.000  0.000  0.500

[6]
The following is a PBE calculation of a relaxed structure of Y3RuPb, from Alexandria.

Output
E above lowest polymorph = 32 meV/atom
ΔH_f (0 K) = -1.90 eV per formula unit

Cell lengths 17.034, 7.592, 7.592 Å; angles 145.62, 146.01, 33.99 degrees
Fractional coordinates of all 10 atoms:
Pb  0.434  0.170  0.830
Pb  0.566  0.830  0.170
Ru  0.086  0.718  0.282
Ru  0.914  0.282  0.718
Y  0.707  0.343  0.657
Y  0.293  0.657  0.343
Y  0.949  0.435  0.565
Y  0.051  0.565  0.435
Y  0.284  0.959  0.041
Y  0.716  0.041  0.959